First-principles (PBE with a Hubbard U) data for crystalline SrV2F6 at its relaxed geometry, as listed in the Alexandria database.

Output
- space-group type = P-31m (162)
- E (eV/atom) = -6.175

abc: 5.582 5.582 5.184
angles: 90.00 90.00 120.00
Atoms (fractional coordinates):
Sr (0.000, 0.000, 0.000)
V (0.333, 0.667, 0.500)
V (0.667, 0.333, 0.500)
F (0.000, 0.354, 0.717)
F (0.000, 0.646, 0.283)
F (0.354, 0.000, 0.717)
F (0.354, 0.354, 0.283)
F (0.646, 0.000, 0.283)
F (0.646, 0.646, 0.717)